# Mg2OsAu, optimized geometry, DFT PBE
# Energy of formation from the pure elements: -2 meV per atom
data_Mg2OsAu
_chemical_formula_sum 'Mg6 Os3 Au3'
_symmetry_space_group_name_H-M 'R -3 m'
_symmetry_Int_Tables_number 166
_symmetry_space_group_name_Hall '-R 3 2"'
_cell_length_a 2.9293
_cell_length_b 2.9293
_cell_length_c 26.9954
_cell_angle_alpha 90.00
_cell_angle_beta 90.00
_cell_angle_gamma 120.00
loop_
_atom_site_label
_atom_site_type_symbol
_atom_site_fract_x
_atom_site_fract_y
_atom_site_fract_z
_atom_site_occupancy
Mg1 Mg 0.0000 0.0000 0.2472 1
Os1 Os 0.0000 0.0000 0.5000 1
Au1 Au 0.0000 0.0000 0.0000 1

=====

# GaPb4S6, optimized geometry, DFT PBE
# Energy relative to the elements, uncorrected: -0.46 eV per atom
data_GaPb4S6
_chemical_formula_sum 'Ga4 Pb16 S24'
_symmetry_space_group_name_H-M 'C 1 c 1'
_symmetry_Int_Tables_number 9
_cell_length_a 14.777
_cell_length_b 7.583
_cell_length_c 13.133
_cell_angle_alpha 90.00
_cell_angle_beta 118.14
_cell_angle_gamma 90.00
loop_
_symmetry_equiv_pos_as_xyz
'x,y,z'
'x,-y,z+1/2'
'x+1/2,y+1/2,z'
'x+1/2,-y+1/2,z+1/2'
loop_
_atom_site_label
_atom_site_type_symbol
_atom_site_fract_x
_atom_site_fract_y
_atom_site_fract_z
_atom_site_occupancy
Ga1 Ga 0.000 0.221 0.000 1
Pb1 Pb 0.030 0.321 0.595 1
Pb2 Pb 0.221 0.473 0.925 1
Pb3 Pb 0.269 0.102 0.233 1
Pb4 Pb 0.421 0.333 0.742 1
S1 S 0.021 0.462 0.905 1
S2 S 0.052 0.041 0.461 1
S3 S 0.090 0.270 0.195 1
S4 S 0.234 0.260 0.769 1
S5 S 0.332 0.219 0.455 1
S6 S 0.362 0.346 0.133 1

=====

# YHfN2, optimized geometry, DFT PBE
# Energy relative to the elements, uncorrected: -1.57 eV per atom
data_YHfN2
_chemical_formula_sum 'Y3 Hf3 N6'
_symmetry_space_group_name_H-M 'R 3 m'
_symmetry_Int_Tables_number 160
_symmetry_space_group_name_Hall 'R 3 -2"'
_cell_length_a 3.2661
_cell_length_b 3.2661
_cell_length_c 17.2384
_cell_angle_alpha 90.00
_cell_angle_beta 90.00
_cell_angle_gamma 120.00
loop_
_atom_site_label
_atom_site_type_symbol
_atom_site_fract_x
_atom_site_fract_y
_atom_site_fract_z
_atom_site_occupancy
Y1 Y 0.0000 0.0000 0.0000 1
Hf1 Hf 0.0000 0.0000 0.1739 1
N1 N 0.0000 0.0000 0.5772 1
N2 N 0.0000 0.0000 0.7649 1

=====

# HoTiCo2, optimized geometry, DFT PBE
# Energy of formation from the pure elements: -157 meV per atom
# E above lowest polymorph: 0.098 eV/atom
data_HoTiCo2
_chemical_formula_sum 'Ho4 Ti4 Co8'
_symmetry_space_group_name_H-M 'F m -3 m'
_symmetry_Int_Tables_number 225
_symmetry_space_group_name_Hall '-F 4 2 3'
_cell_length_a 6.319
_cell_length_b 6.319
_cell_length_c 6.319
_cell_angle_alpha 90.00
_cell_angle_beta 90.00
_cell_angle_gamma 90.00
loop_
_atom_site_label
_atom_site_type_symbol
_atom_site_fract_x
_atom_site_fract_y
_atom_site_fract_z
_atom_site_occupancy
Ho1 Ho 0.000 0.000 0.000 1
Ti1 Ti 0.000 0.000 0.500 1
Co1 Co 0.250 0.250 0.250 1

=====

# LiAc2InHg6, optimized geometry, DFT PBE
# Energy of formation from the pure elements: -337 meV per atom
data_LiAc2InHg6
_chemical_formula_sum 'Li1 Ac2 In1 Hg6'
_symmetry_space_group_name_H-M 'P -1'
_symmetry_Int_Tables_number 2
_cell_length_a 5.539
_cell_length_b 5.762
_cell_length_c 9.529
_cell_angle_alpha 104.84
_cell_angle_beta 96.85
_cell_angle_gamma 105.52
loop_
_symmetry_equiv_pos_as_xyz
'x,y,z'
'-x,-y,-z'
loop_
_atom_site_label
_atom_site_type_symbol
_atom_site_fract_x
_atom_site_fract_y
_atom_site_fract_z
_atom_site_occupancy
Li1 Li 0.000 0.000 0.000 1
Ac1 Ac 0.134 0.335 0.695 1
In1 In 0.500 0.000 0.500 1
Hg1 Hg 0.226 0.297 0.346 1
Hg2 Hg 0.266 0.511 0.077 1
Hg3 Hg 0.413 0.954 0.832 1

=====

# ZnInCl3, optimized geometry, DFT PBE
# Energy relative to the elements, uncorrected: -0.54 eV per atom
# E above lowest polymorph: 0.487 eV/atom
data_ZnInCl3
_chemical_formula_sum 'Zn1 In1 Cl3'
_symmetry_space_group_name_H-M 'P m -3 m'
_symmetry_Int_Tables_number 221
_symmetry_space_group_name_Hall '-P 4 2 3'
_cell_length_a 5.213
_cell_length_b 5.213
_cell_length_c 5.213
_cell_angle_alpha 90.00
_cell_angle_beta 90.00
_cell_angle_gamma 90.00
loop_
_atom_site_label
_atom_site_type_symbol
_atom_site_fract_x
_atom_site_fract_y
_atom_site_fract_z
_atom_site_occupancy
Zn1 Zn 0.000 0.000 0.000 1
In1 In 0.500 0.500 0.500 1
Cl1 Cl 0.000 0.500 0.500 1

=====

| no. | E (eV/atom) | total moment (μB per formula unit) |
| --- | --- | --- |
| 1 | -4.43 | 0.00 |
| 2 | -4.33 | 0.00 |
| 3 | -9.83 | 0.00 |
| 4 | -6.83 | 1.17 |
| 5 | -1.81 | 0.00 |
| 6 | -2.45 | 0.33 |